# LiMgFe

A crystal of LiMgFe relaxed with PBEsol (meta-GGA SCAN, Alexandria via LeMat-Bulk).

Energy relative to the lowest polymorph listed for this composition ... 21 meV per atom
Space-group type ... P3m1
E_form ... 0.319 eV per atom
V ... 14.860 Å³ per atom
E ... -8.18 eV per atom

CIF file:
```
data_LiMgFe
_symmetry_space_group_name_H-M 'P 1'
_symmetry_Int_Tables_number 1
_cell_length_a 2.632
_cell_length_b 4.423
_cell_length_c 4.423
_cell_angle_alpha 120.00
_cell_angle_beta 90.00
_cell_angle_gamma 90.00
loop_
_symmetry_equiv_pos_as_xyz
'x,y,z'
loop_
_atom_site_label
_atom_site_type_symbol
_atom_site_fract_x
_atom_site_fract_y
_atom_site_fract_z
Fe1 Fe 0.942 0.000 0.000
Li1 Li 0.693 0.333 0.667
Mg1 Mg 0.365 0.667 0.333
```



# Li2MgFe

A crystal of Li2MgFe relaxed with PBEsol (meta-GGA SCAN, Alexandria via LeMat-Bulk).

Space-group type ... Immm
E_form ... 0.238 eV per atom
V ... 15.682 Å³ per atom
E ... -6.73 eV per atom

CIF file:
```
data_Li2MgFe
_symmetry_space_group_name_H-M 'P 1'
_symmetry_Int_Tables_number 1
_cell_length_a 2.756
_cell_length_b 4.693
_cell_length_c 5.561
_cell_angle_alpha 114.95
_cell_angle_beta 104.35
_cell_angle_gamma 90.00
loop_
_symmetry_equiv_pos_as_xyz
'x,y,z'
loop_
_atom_site_label
_atom_site_type_symbol
_atom_site_fract_x
_atom_site_fract_y
_atom_site_fract_z
Fe1 Fe 0.000 0.500 0.000
Li1 Li 0.734 0.734 0.468
Li2 Li 0.266 0.266 0.532
Mg1 Mg 0.500 0.000 0.000
```



# Li2Mg2MnFeP4O16

A crystal of Li2Mg2MnFeP4O16 relaxed with PBEsol (meta-GGA SCAN, Alexandria via LeMat-Bulk).

Space-group type ... P1
V ... 10.756 Å³ per atom
E ... -9.96 eV per atom

CIF file:
```
data_Li2Mg2MnFeP4O16
_symmetry_space_group_name_H-M 'P 1'
_symmetry_Int_Tables_number 1
_cell_length_a 4.767
_cell_length_b 5.882
_cell_length_c 9.975
_cell_angle_alpha 90.11
_cell_angle_beta 90.68
_cell_angle_gamma 90.47
loop_
_symmetry_equiv_pos_as_xyz
'x,y,z'
loop_
_atom_site_label
_atom_site_type_symbol
_atom_site_fract_x
_atom_site_fract_y
_atom_site_fract_z
Li1 Li 0.996 0.538 0.992
Li2 Li 0.493 0.960 0.492
Mg1 Mg 0.024 0.747 0.279
Mg2 Mg 0.478 0.751 0.777
Mn1 Mn 0.553 0.249 0.218
Fe1 Fe 0.975 0.249 0.723
P1 P 0.089 0.249 0.399
P2 P 0.420 0.251 0.905
P3 P 0.567 0.750 0.096
P4 P 0.925 0.750 0.597
O1 O 0.156 0.253 0.551
O2 O 0.234 0.036 0.339
O3 O 0.224 0.449 0.324
O4 O 0.243 0.763 0.608
O5 O 0.251 0.737 0.106
O6 O 0.278 0.053 0.827
O7 O 0.263 0.459 0.841
O8 O 0.342 0.247 0.056
O9 O 0.676 0.751 0.953
O10 O 0.722 0.544 0.168
O11 O 0.702 0.951 0.179
O12 O 0.738 0.264 0.888
O13 O 0.764 0.240 0.379
O14 O 0.797 0.548 0.679
O15 O 0.778 0.960 0.669
O16 O 0.814 0.750 0.453
```



# LiMg30FeO32

A crystal of LiMg30FeO32 relaxed with PBEsol (meta-GGA SCAN, Alexandria via LeMat-Bulk).

Space-group type ... P4/mmm
V ... 9.255 Å³ per atom
E ... -8.70 eV per atom

CIF file:
```
data_LiMg30FeO32
_symmetry_space_group_name_H-M 'P 1'
_symmetry_Int_Tables_number 1
_cell_length_a 8.395
_cell_length_b 8.395
_cell_length_c 8.405
_cell_angle_alpha 90.00
_cell_angle_beta 90.00
_cell_angle_gamma 90.00
loop_
_symmetry_equiv_pos_as_xyz
'x,y,z'
loop_
_atom_site_label
_atom_site_type_symbol
_atom_site_fract_x
_atom_site_fract_y
_atom_site_fract_z
Li1 Li 0.000 0.000 0.500
Mg1 Mg 0.000 0.500 0.000
Mg2 Mg 0.000 0.500 0.500
Mg3 Mg 0.500 0.000 0.000
Mg4 Mg 0.500 0.000 0.500
Mg5 Mg 0.500 0.500 0.000
Mg6 Mg 0.500 0.500 0.500
Mg7 Mg 0.000 0.248 0.254
Mg8 Mg 0.000 0.248 0.746
Mg9 Mg 0.000 0.752 0.254
Mg10 Mg 0.000 0.752 0.746
Mg11 Mg 0.500 0.250 0.251
Mg12 Mg 0.500 0.250 0.749
Mg13 Mg 0.500 0.750 0.251
Mg14 Mg 0.500 0.750 0.749
Mg15 Mg 0.248 0.000 0.254
Mg16 Mg 0.248 0.000 0.746
Mg17 Mg 0.250 0.500 0.251
Mg18 Mg 0.250 0.500 0.749
Mg19 Mg 0.752 0.000 0.254
Mg20 Mg 0.752 0.000 0.746
Mg21 Mg 0.750 0.500 0.251
Mg22 Mg 0.750 0.500 0.749
Mg23 Mg 0.249 0.249 0.000
Mg24 Mg 0.247 0.247 0.500
Mg25 Mg 0.249 0.751 0.000
Mg26 Mg 0.247 0.753 0.500
Mg27 Mg 0.751 0.249 0.000
Mg28 Mg 0.753 0.247 0.500
Mg29 Mg 0.751 0.751 0.000
Mg30 Mg 0.753 0.753 0.500
Fe1 Fe 0.000 0.000 0.000
O1 O 0.239 0.000 0.000
O2 O 0.253 0.000 0.500
O3 O 0.248 0.500 0.000
O4 O 0.250 0.500 0.500
O5 O 0.761 0.000 0.000
O6 O 0.747 0.000 0.500
O7 O 0.752 0.500 0.000
O8 O 0.750 0.500 0.500
O9 O 0.249 0.249 0.249
O10 O 0.249 0.249 0.751
O11 O 0.249 0.751 0.249
O12 O 0.249 0.751 0.751
O13 O 0.751 0.249 0.249
O14 O 0.751 0.249 0.751
O15 O 0.751 0.751 0.249
O16 O 0.751 0.751 0.751
O17 O 0.000 0.000 0.230
O18 O 0.000 0.000 0.770
O19 O 0.000 0.500 0.246
O20 O 0.000 0.500 0.754
O21 O 0.500 0.000 0.246
O22 O 0.500 0.000 0.754
O23 O 0.500 0.500 0.249
O24 O 0.500 0.500 0.751
O25 O 0.000 0.239 0.000
O26 O 0.000 0.253 0.500
O27 O 0.000 0.761 0.000
O28 O 0.000 0.747 0.500
O29 O 0.500 0.248 0.000
O30 O 0.500 0.250 0.500
O31 O 0.500 0.752 0.000
O32 O 0.500 0.750 0.500
```



# Li10Mg12FeP12O48

A crystal of Li10Mg12FeP12O48 relaxed with PBEsol (meta-GGA SCAN, Alexandria via LeMat-Bulk).

Space-group type ... P-1
V ... 10.139 Å³ per atom
E ... -9.13 eV per atom

CIF file:
```
data_Li10Mg12FeP12O48
_symmetry_space_group_name_H-M 'P 1'
_symmetry_Int_Tables_number 1
_cell_length_a 5.891
_cell_length_b 10.153
_cell_length_c 14.070
_cell_angle_alpha 89.88
_cell_angle_beta 89.69
_cell_angle_gamma 89.83
loop_
_symmetry_equiv_pos_as_xyz
'x,y,z'
loop_
_atom_site_label
_atom_site_type_symbol
_atom_site_fract_x
_atom_site_fract_y
_atom_site_fract_z
Li1 Li 0.500 0.000 0.334
Li2 Li 0.000 0.999 0.667
Li3 Li 0.500 0.000 0.666
Li4 Li 0.000 0.000 0.000
Li5 Li 0.500 0.000 0.000
Li6 Li 0.000 0.001 0.333
Li7 Li 0.997 0.499 0.166
Li8 Li 0.003 0.501 0.834
Li9 Li 0.496 0.500 0.166
Li10 Li 0.504 0.500 0.834
Mg1 Mg 0.752 0.778 0.829
Mg2 Mg 0.748 0.778 0.160
Mg3 Mg 0.756 0.778 0.495
Mg4 Mg 0.250 0.723 0.995
Mg5 Mg 0.246 0.724 0.327
Mg6 Mg 0.249 0.724 0.662
Mg7 Mg 0.754 0.276 0.673
Mg8 Mg 0.750 0.277 0.005
Mg9 Mg 0.751 0.276 0.338
Mg10 Mg 0.248 0.222 0.171
Mg11 Mg 0.252 0.222 0.840
Mg12 Mg 0.244 0.222 0.505
Fe1 Fe 0.500 0.500 0.500
P1 P 0.252 0.907 0.806
P2 P 0.249 0.906 0.139
P3 P 0.252 0.906 0.473
P4 P 0.751 0.594 0.973
P5 P 0.741 0.595 0.305
P6 P 0.758 0.596 0.642
P7 P 0.249 0.406 0.027
P8 P 0.259 0.405 0.695
P9 P 0.242 0.404 0.358
P10 P 0.751 0.094 0.861
P11 P 0.748 0.093 0.194
P12 P 0.748 0.094 0.527
O1 O 0.748 0.951 0.234
O2 O 0.752 0.952 0.901
O3 O 0.749 0.952 0.567
O4 O 0.252 0.901 0.915
O5 O 0.248 0.900 0.248
O6 O 0.251 0.900 0.582
O7 O 0.045 0.835 0.761
O8 O 0.459 0.834 0.760
O9 O 0.042 0.834 0.093
O10 O 0.045 0.834 0.427
O11 O 0.457 0.834 0.093
O12 O 0.459 0.834 0.427
O13 O 0.536 0.666 0.256
O14 O 0.951 0.667 0.262
O15 O 0.544 0.666 0.927
O16 O 0.544 0.665 0.595
O17 O 0.959 0.666 0.927
O18 O 0.956 0.675 0.598
O19 O 0.750 0.600 0.082
O20 O 0.753 0.601 0.751
O21 O 0.729 0.603 0.414
O22 O 0.249 0.548 0.067
O23 O 0.254 0.547 0.733
O24 O 0.253 0.547 0.396
O25 O 0.751 0.452 0.933
O26 O 0.747 0.453 0.604
O27 O 0.746 0.453 0.267
O28 O 0.250 0.400 0.918
O29 O 0.271 0.397 0.586
O30 O 0.247 0.399 0.249
O31 O 0.049 0.333 0.738
O32 O 0.041 0.334 0.073
O33 O 0.464 0.334 0.744
O34 O 0.456 0.334 0.073
O35 O 0.044 0.325 0.402
O36 O 0.456 0.335 0.405
O37 O 0.541 0.166 0.573
O38 O 0.955 0.166 0.573
O39 O 0.541 0.166 0.240
O40 O 0.543 0.166 0.907
O41 O 0.958 0.166 0.907
O42 O 0.955 0.165 0.239
O43 O 0.749 0.100 0.418
O44 O 0.748 0.099 0.085
O45 O 0.752 0.100 0.752
O46 O 0.251 0.048 0.433
O47 O 0.252 0.049 0.766
O48 O 0.248 0.048 0.099
```



# Li2MnFe

A crystal of Li2MnFe relaxed with PBEsol (meta-GGA SCAN, Alexandria via LeMat-Bulk).

Energy relative to the lowest polymorph listed for this composition ... 100 meV per atom
Space-group type ... Fm-3m
E_form ... 0.390 eV per atom
V ... 12.269 Å³ per atom
E ... -9.90 eV per atom

CIF file:
```
data_Li2MnFe
_symmetry_space_group_name_H-M 'P 1'
_symmetry_Int_Tables_number 1
_cell_length_a 4.110
_cell_length_b 4.110
_cell_length_c 4.110
_cell_angle_alpha 60.00
_cell_angle_beta 60.00
_cell_angle_gamma 60.00
loop_
_symmetry_equiv_pos_as_xyz
'x,y,z'
loop_
_atom_site_label
_atom_site_type_symbol
_atom_site_fract_x
_atom_site_fract_y
_atom_site_fract_z
Fe1 Fe 0.000 0.000 0.000
Li1 Li 0.250 0.250 0.250
Li2 Li 0.750 0.750 0.750
Mn1 Mn 0.500 0.500 0.500
```